Compound: RbLaW2
Source: Alexandria
Functional: GGA-PBE
Structure: relaxed

a = 4.207 Å, b = 4.207 Å, c = 11.672 Å
α = 79.62°, β = 79.62°, γ = 90.00°
Element x y z (fractional)
W (0.875, 0.311, 0.750)
W (0.689, 0.625, 0.250)
W (0.375, 0.939, 0.750)
W (0.061, 0.125, 0.250)
La (0.000, 0.000, 0.000)
La (0.750, 0.250, 0.500)
Rb (0.500, 0.500, 0.000)
Rb (0.250, 0.750, 0.500)

## Properties
Total magnetization = 0.00 μB per formula unit
Formation energy = 173 kJ per mole of atoms
Polymorph energy (0 for the lowest one) = 0.000 eV per atom
Crystal system = tetragonal


Compound: Rb3LaW
Source: Alexandria
Functional: GGA-PBE
Structure: relaxed

a = 7.022 Å, b = 7.022 Å, c = 7.022 Å
α = 90.00°, β = 90.00°, γ = 90.00°
Last column: magnetic moment on the atom in μB.
Element x y z (fractional)
Rb (0.000, 0.500, 0.000)  -0.05
Rb (0.000, 0.000, 0.500)  -0.06
Rb (0.500, 0.000, 0.000)  -0.04
W (0.500, 0.500, 0.500)  3.50
La (0.000, 0.000, 0.000)  -1.10

## Properties
Total magnetization = 1.63 μB per formula unit
Formation energy = 207 kJ per mole of atoms
Crystal system = cubic


Compound: RbLaW3
Source: Alexandria
Functional: GGA-PBE
Structure: relaxed

a = 5.079 Å, b = 5.079 Å, c = 5.079 Å
α = 90.00°, β = 90.00°, γ = 90.00°
Element x y z (fractional)
W (0.000, 0.500, 0.000)
W (0.000, 0.000, 0.500)
W (0.500, 0.000, 0.000)
La (0.000, 0.000, 0.000)
Rb (0.500, 0.500, 0.500)

## Properties
Total magnetization = 0.00 μB per formula unit
Formation energy = 292 kJ per mole of atoms
Polymorph energy (0 for the lowest one) = 0.000 eV per atom
Crystal system = cubic


Compound: RbLa2W
Source: Alexandria
Functional: GGA-PBE
Structure: relaxed

a = 8.536 Å, b = 8.536 Å, c = 8.528 Å
α = 59.97°, β = 59.97°, γ = 90.00°
Element x y z (fractional)
Rb (0.250, 0.750, 0.500)
Rb (0.500, 0.500, 0.000)
La (0.875, 0.125, 0.250)
La (0.875, 0.625, 0.250)
La (0.875, 0.125, 0.750)
La (0.375, 0.125, 0.750)
W (0.750, 0.250, 0.500)
W (0.000, 0.000, 0.000)

## Properties
Total magnetization = 0.00 μB per formula unit
Formation energy = 87 kJ per mole of atoms
Polymorph energy (0 for the lowest one) = 0.000 eV per atom
Crystal system = tetragonal


Compound: RbLa2W
Source: Alexandria
Functional: GGA-PBE
Structure: relaxed

a = 5.456 Å, b = 5.456 Å, c = 5.456 Å
α = 60.00°, β = 60.00°, γ = 60.00°
Element x y z (fractional)
W (0.500, 0.500, 0.500)
La (0.250, 0.250, 0.250)
La (0.750, 0.750, 0.750)
Rb (0.000, 0.000, 0.000)

## Properties
Total magnetization = 0.00 μB per formula unit
Formation energy = 102 kJ per mole of atoms
Polymorph energy (0 for the lowest one) = 0.152 eV per atom
Crystal system = cubic


Compound: RbLa2Y2
Source: Alexandria
Functional: GGA-PBE
Structure: relaxed

a = 10.524 Å, b = 10.524 Å, c = 3.652 Å
α = 90.00°, β = 90.00°, γ = 90.00°
Element x y z (fractional)
La (0.325, 0.175, 0.500)
La (0.175, 0.675, 0.500)
La (0.675, 0.825, 0.500)
La (0.825, 0.325, 0.500)
Y (0.386, 0.886, 0.000)
Y (0.886, 0.614, 0.000)
Y (0.114, 0.386, 0.000)
Y (0.614, 0.114, 0.000)
Rb (0.500, 0.500, 0.000)
Rb (0.000, 0.000, 0.000)

## Properties
Total magnetization = 0.00 μB per formula unit
Formation energy = 32 kJ per mole of atoms
Polymorph energy (0 for the lowest one) = 0.000 eV per atom
Crystal system = tetragonal


Compound: RbLa2Y2
Source: Alexandria
Functional: GGA-PBE
Structure: relaxed

a = 10.483 Å, b = 10.483 Å, c = 3.739 Å
α = 90.00°, β = 90.00°, γ = 90.00°
Element x y z (fractional)
La (0.381, 0.881, 0.000)
La (0.119, 0.381, 0.000)
La (0.619, 0.119, 0.000)
La (0.881, 0.619, 0.000)
Y (0.834, 0.334, 0.500)
Y (0.666, 0.834, 0.500)
Y (0.166, 0.666, 0.500)
Y (0.334, 0.166, 0.500)
Rb (0.500, 0.500, 0.000)
Rb (0.000, 0.000, 0.000)

## Properties
Total magnetization = 0.00 μB per formula unit
Formation energy = 34 kJ per mole of atoms
Polymorph energy (0 for the lowest one) = 0.025 eV per atom
Crystal system = tetragonal


Compound: RbLaYZr2
Source: Alexandria
Functional: GGA-PBE
Structure: relaxed

a = 5.450 Å, b = 5.975 Å, c = 5.450 Å
α = 90.00°, β = 90.00°, γ = 90.00°
Last column: magnetic moment on the atom in μB.
Element x y z (fractional)
Zr (0.500, 0.000, 0.000)  0.28
Zr (0.000, 0.000, 0.500)  0.14
La (0.000, 0.000, 0.000)  0.08
Y (0.000, 0.500, 0.000)  0.10
Rb (0.500, 0.500, 0.500)  0.01

## Properties
Total magnetization = 1.04 μB per formula unit
Formation energy = 111 kJ per mole of atoms
Crystal system = tetragonal


Compound: RbLa2Zr
Source: Alexandria
Functional: GGA-PBE
Structure: relaxed

a = 5.883 Å, b = 5.883 Å, c = 5.883 Å
α = 60.00°, β = 60.00°, γ = 60.00°
Last column: magnetic moment on the atom in μB.
Element x y z (fractional)
La (0.750, 0.750, 0.750)  0.24
La (0.250, 0.250, 0.250)  0.24
Zr (0.500, 0.500, 0.500)  1.00
Rb (0.000, 0.000, 0.000)  0.02

## Properties
Total magnetization = 2.77 μB per formula unit
Formation energy = 69 kJ per mole of atoms
Polymorph energy (0 for the lowest one) = 0.000 eV per atom
Crystal system = cubic


Compound: Rb3LaZr
Source: Alexandria
Functional: GGA-PBE
Structure: relaxed

a = 6.748 Å, b = 6.748 Å, c = 6.748 Å
α = 90.00°, β = 90.00°, γ = 90.00°
Last column: magnetic moment on the atom in μB.
Element x y z (fractional)
Rb (0.500, 0.000, 0.000)  -0.02
Rb (0.000, 0.500, 0.000)  -0.02
Rb (0.000, 0.000, 0.500)  -0.01
Zr (0.500, 0.500, 0.500)  -1.62
La (0.000, 0.000, 0.000)  0.01

## Properties
Total magnetization = 3.54 μB per formula unit
Formation energy = 170 kJ per mole of atoms
Crystal system = cubic


Compound: RbLaZr3
Source: Alexandria
Functional: GGA-PBE
Structure: relaxed

a = 5.435 Å, b = 5.435 Å, c = 5.435 Å
α = 90.00°, β = 90.00°, γ = 90.00°
Element x y z (fractional)
Zr (0.000, 0.500, 0.000)
Zr (0.500, 0.000, 0.000)
Zr (0.000, 0.000, 0.500)
Rb (0.500, 0.500, 0.500)
La (0.000, 0.000, 0.000)

## Properties
Total magnetization = 0.00 μB per formula unit
Formation energy = 131 kJ per mole of atoms
Polymorph energy (0 for the lowest one) = 0.000 eV per atom
Crystal system = cubic


Compound: Rb2LaZr
Source: Alexandria
Functional: GGA-PBE
Structure: relaxed

a = 6.195 Å, b = 6.195 Å, c = 6.195 Å
α = 60.00°, β = 60.00°, γ = 60.00°
Last column: magnetic moment on the atom in μB.
Element x y z (fractional)
Zr (0.000, 0.000, 0.000)  0.55
Rb (0.750, 0.750, 0.750)  0.00
Rb (0.250, 0.250, 0.250)  0.00
La (0.500, 0.500, 0.500)  -0.04

## Properties
Total magnetization = 0.84 μB per formula unit
Formation energy = 124 kJ per mole of atoms
Polymorph energy (0 for the lowest one) = 0.317 eV per atom
Crystal system = cubic


What is the formula in the fourth record? RbLa2W